# LaPrCo PBE relaxed
# Offset from the most stable computed form = 128 meV/atom
# DFT formation energy = 0.0405 eV per atom
data_LaPrCo
_cell_length_a 4.8832
_cell_length_b 4.8832
_cell_length_c 4.8832
_cell_angle_alpha 60.00
_cell_angle_beta 60.00
_cell_angle_gamma 60.00
_space_group_name_H-M_alt 'P 1'
_space_group_IT_number 1
_space_group_name_Hall 'P 1'
loop_
_atom_site_label
_atom_site_type_symbol
_atom_site_fract_x
_atom_site_fract_y
_atom_site_fract_z
Pr1 Pr 0.5000 0.5000 0.5000
Co1 Co 0.2500 0.2500 0.2500
La1 La 0.0000 0.0000 0.0000

# K2CdBr2 PBE relaxed
# Energy relative to the elements, uncorrected = -1.1816 eV/atom
data_K2CdBr2
_cell_length_a 9.3531
_cell_length_b 9.3531
_cell_length_c 4.1207
_cell_angle_alpha 90.00
_cell_angle_beta 90.00
_cell_angle_gamma 90.00
_space_group_name_H-M_alt 'P 1'
_space_group_IT_number 1
_space_group_name_Hall 'P 1'
loop_
_atom_site_label
_atom_site_type_symbol
_atom_site_fract_x
_atom_site_fract_y
_atom_site_fract_z
K1 K 0.3565 0.8565 0.0000
K2 K 0.8565 0.6435 0.0000
K3 K 0.6435 0.1435 0.0000
K4 K 0.1435 0.3565 0.0000
Br1 Br 0.1534 0.6534 0.5000
Br2 Br 0.6534 0.8466 0.5000
Br3 Br 0.8466 0.3466 0.5000
Br4 Br 0.3466 0.1534 0.5000
Cd1 Cd 0.0000 0.0000 0.0000
Cd2 Cd 0.5000 0.5000 0.0000

# V6SnW PBE relaxed
# DFT formation energy = 0.1180 eV per atom
data_V6SnW
_cell_length_a 4.7256
_cell_length_b 5.6040
_cell_length_c 5.6050
_cell_angle_alpha 123.35
_cell_angle_beta 97.13
_cell_angle_gamma 97.11
_space_group_name_H-M_alt 'P 1'
_space_group_IT_number 1
_space_group_name_Hall 'P 1'
loop_
_atom_site_label
_atom_site_type_symbol
_atom_site_fract_x
_atom_site_fract_y
_atom_site_fract_z
V1 V 0.5084 0.9415 0.5702
V2 V 0.4916 0.4300 0.0586
V3 V 0.5000 0.4345 0.5657
V4 V 0.9850 0.5405 0.9229
V5 V 0.0150 0.0769 0.4595
V6 V 0.0000 0.0758 0.9240
Sn1 Sn 0.5001 0.9335 0.0668
W1 W 0.9999 0.5672 0.4324

# Er4LuTh PBE relaxed
# DFT formation energy = 0.3223 eV per atom
data_Er4LuTh
_cell_length_a 6.4691
_cell_length_b 6.4691
_cell_length_c 6.4691
_cell_angle_alpha 60.00
_cell_angle_beta 60.00
_cell_angle_gamma 60.00
_space_group_name_H-M_alt 'P 1'
_space_group_IT_number 1
_space_group_name_Hall 'P 1'
loop_
_atom_site_label
_atom_site_type_symbol
_atom_site_fract_x
_atom_site_fract_y
_atom_site_fract_z
Lu1 Lu 0.0000 0.0000 0.0000
Th1 Th 0.2500 0.2500 0.2500
Er1 Er 0.6246 0.6246 0.1262
Er2 Er 0.6246 0.1262 0.6246
Er3 Er 0.6246 0.6246 0.6246
Er4 Er 0.1262 0.6246 0.6246

# TlNiB3 PBE relaxed
# Offset from the most stable computed form = 1614 meV/atom
# DFT formation energy = 2.8335 eV per atom
data_TlNiB3
_cell_length_a 4.4642
_cell_length_b 4.4642
_cell_length_c 4.4642
_cell_angle_alpha 90.00
_cell_angle_beta 90.00
_cell_angle_gamma 90.00
_space_group_name_H-M_alt 'P 1'
_space_group_IT_number 1
_space_group_name_Hall 'P 1'
loop_
_atom_site_label
_atom_site_type_symbol
_atom_site_fract_x
_atom_site_fract_y
_atom_site_fract_z
Ni1 Ni 0.5000 0.5000 0.5000
Tl1 Tl 0.0000 0.0000 0.0000
B1 B 0.0000 0.5000 0.0000
B2 B 0.0000 0.0000 0.5000
B3 B 0.5000 0.0000 0.0000

# CsMgI2O PBE relaxed
# Offset from the most stable computed form = 0 meV/atom
# Energy relative to the elements, uncorrected = -1.1464 eV/atom
data_CsMgI2O
_cell_length_a 6.6376
_cell_length_b 6.6376
_cell_length_c 3.7978
_cell_angle_alpha 90.00
_cell_angle_beta 90.00
_cell_angle_gamma 90.00
_space_group_name_H-M_alt 'P 1'
_space_group_IT_number 1
_space_group_name_Hall 'P 1'
loop_
_atom_site_label
_atom_site_type_symbol
_atom_site_fract_x
_atom_site_fract_y
_atom_site_fract_z
Cs1 Cs 0.5000 0.5000 0.5000
I1 I 0.0000 0.5000 0.0000
I2 I 0.5000 0.0000 0.0000
Mg1 Mg 0.0000 0.0000 0.0000
O1 O 0.0000 0.0000 0.5000

# CoAuSe2 PBE relaxed
# Energy relative to the elements, uncorrected = -0.1729 eV/atom
data_CoAuSe2
_cell_length_a 6.1878
_cell_length_b 3.5668
_cell_length_c 7.1971
_cell_angle_alpha 89.99
_cell_angle_beta 97.96
_cell_angle_gamma 90.02
_space_group_name_H-M_alt 'P 1'
_space_group_IT_number 1
_space_group_name_Hall 'P 1'
loop_
_atom_site_label
_atom_site_type_symbol
_atom_site_fract_x
_atom_site_fract_y
_atom_site_fract_z
Au1 Au 0.2907 0.1703 0.7619
Au2 Au 0.7907 0.1703 0.7619
Co1 Co 0.5406 0.4204 0.2619
Co2 Co 0.0406 0.9202 0.2619
Se1 Se 0.7370 0.9349 0.4310
Se2 Se 0.2370 0.4057 0.4310
Se3 Se 0.8442 0.4057 0.0928
Se4 Se 0.3442 0.9349 0.0928

# Zn2InP PBE relaxed
# DFT formation energy = 0.1766 eV per atom
data_Zn2InP
_cell_length_a 3.6522
_cell_length_b 2.8548
_cell_length_c 7.4295
_cell_angle_alpha 89.44
_cell_angle_beta 90.00
_cell_angle_gamma 90.00
_space_group_name_H-M_alt 'P 1'
_space_group_IT_number 1
_space_group_name_Hall 'P 1'
loop_
_atom_site_label
_atom_site_type_symbol
_atom_site_fract_x
_atom_site_fract_y
_atom_site_fract_z
Zn1 Zn 0.0000 0.0115 0.7189
Zn2 Zn 0.0000 0.9885 0.2811
In1 In 0.5000 0.5000 0.0000
P1 P 0.5000 0.0000 0.5000